A geometry-optimized YEr6Tm2Sc structure. Source: Alexandria via LeMat-Bulk, functional PBE-GGA.

Cell lengths 8.619, 8.619, 9.291 Å; angles 93.49, 93.49, 117.61 degrees
Fractional positions:
Y  0.023  0.977  0.750
Y  0.977  0.023  0.250
Er  0.009  0.565  0.690
Er  0.130  0.754  0.056
Er  0.246  0.870  0.444
Er  0.290  0.504  0.884
Er  0.435  0.991  0.810
Er  0.496  0.710  0.616
Er  0.504  0.290  0.384
Er  0.565  0.009  0.190
Er  0.710  0.496  0.116
Er  0.754  0.130  0.556
Er  0.870  0.246  0.944
Er  0.991  0.435  0.310
Tm  0.201  0.309  0.547
Tm  0.309  0.201  0.047
Tm  0.691  0.799  0.953
Tm  0.799  0.691  0.453
Sc  0.414  0.586  0.250
Sc  0.586  0.414  0.750

Calculated values
Total magnetization   0.00 μB/f.u.
Theoretical density   8.07 g/cm3
Formation energy   127 meV/atom
DFT total energy   -4.785 eV/atom